Here is a relaxed structure of Nd2GeO from the Alexandria database. Energies are from PBE.

Cell and atoms, written as POSCAR:
```
Nd2GeO
1.0
5.978 0.000 0.000
0.000 5.893 0.000
-5.401 0.000 10.993
Nd Ge O
8 4 4
direct
0.098 0.217 0.108
0.098 0.783 0.608
0.315 0.236 0.859
0.315 0.764 0.359
0.685 0.236 0.641
0.685 0.764 0.141
0.902 0.217 0.392
0.902 0.783 0.892
0.388 0.265 0.374
0.388 0.735 0.874
0.612 0.265 0.126
0.612 0.735 0.626
0.051 0.176 0.623
0.051 0.824 0.123
0.949 0.176 0.877
0.949 0.824 0.377
```

Its size of the total moment is 0.00 μB/f.u. The calculation puts the raw formation energy at -1.68 eV/atom. The value obtained for the electronic total energy is -0.474 Ry per atom. The calculation puts the theoretical density at 6.47 g/cm3.